Record 1
Density functional theory data (meta-GGA SCAN) for a PBEsol-optimized structure of TlAsF6.

a = 7.5156 Å, b = 7.5156 Å, c = 7.4433 Å
α = 90.00°, β = 90.00°, γ = 120.00°
Space group R-3 (No. 148, hexagonal axes)
One atom of each set of equivalent atoms:
Tl1 0.0000 0.0000 0.0000
As1 0.0000 0.0000 0.5000
F1 0.0695 0.2154 0.6386

Results
Mass density, kg/m3: 5381
V, A^3/atom: 15.2
Electronic total energy, eV per atom: -16.467
Formation energy (no corrections), eV per atom: -2.24
Total magnetic moment, μB per atom: 0.0000
Crystal system: trigonal
DOS(E_F), states/eV/f.u.: 0.00

---

Record 2
Density functional theory data (meta-GGA SCAN) for a PBEsol-optimized structure of AsWF2.

a = 2.7416 Å, b = 2.7416 Å, c = 29.4461 Å
α = 90.00°, β = 90.00°, γ = 120.00°
Space group R-3m (No. 166, hexagonal axes)
One atom of each set of equivalent atoms:
As1 0.0000 0.0000 0.0000
W1 0.0000 0.0000 0.5000
F1 0.0000 0.0000 0.1153

Results
Mass density, kg/m3: 7713
V, A^3/atom: 16.0
Electronic total energy, eV per atom: -25.009
Formation energy (no corrections), eV per atom: -0.77
Total magnetic moment, μB per atom: 0.0000
Polymorph energy (0 for the lowest one), meV/atom: 0
Crystal system: trigonal
DOS(E_F), states/eV/f.u.: 1.42

---

Record 3
Density functional theory data (meta-GGA SCAN) for a PBEsol-optimized structure of AsWF2.

a = 3.652 Å, b = 3.652 Å, c = 15.591 Å
α = 90.00°, β = 90.00°, γ = 90.00°
Space group I-42d (No. 122)
One atom of each set of equivalent atoms:
As1 0.000 0.000 0.000
W1 0.000 0.000 0.500
F1 0.188 0.250 0.625

Results
Mass density, kg/m3: 9477
V, A^3/atom: 13.0
Electronic total energy, eV per atom: -24.769
Formation energy (no corrections), eV per atom: -0.53
Total magnetic moment, μB per atom: 0.1722
Polymorph energy (0 for the lowest one), meV/atom: 239
Crystal system: tetragonal
DOS(E_F), states/eV/f.u.: 1.95